# 1
Crystalline Na2Tc at its relaxed geometry, computed with GGA-PBE.

Output
Size of the total moment   0.00 μB/f.u.
Raw total energy   -3.02 eV/atom

Cell: 5.3076 5.3076 5.3076 Å, 60.00 60.00 60.00°
Sites, in units of the cell vectors:
1 Na 0.0000 0.0000 0.0000
2 Na 0.0000 0.0000 0.5000
3 Na 0.0000 0.5000 0.0000
4 Na 0.5000 0.0000 0.0000
5 Tc 0.3750 0.3750 0.3750
6 Tc 0.6250 0.6250 0.6250

=====

# 2
Crystalline TaTlNiPt at its relaxed geometry, computed with GGA-PBE.

Output
Size of the total moment   0.00 μB/f.u.
Raw total energy   -6.34 eV/atom

Cell: 4.5554 4.5554 4.5554 Å, 60.00 60.00 60.00°
Sites, in units of the cell vectors:
1 Ta 0.0000 0.0000 0.0000
2 Tl 0.2500 0.2500 0.2500
3 Ni 0.5000 0.5000 0.5000
4 Pt 0.7500 0.7500 0.7500

=====

# 3
Crystalline Pm6Ge2As at its relaxed geometry, computed with GGA-PBE.

Output
Size of the total moment   1.85 μB/f.u.
Raw total energy   -5.42 eV/atom

Cell: 8.1717 8.1717 4.2484 Å, 90.00 90.00 120.00°
Sites, in units of the cell vectors:
1 Pm 0.0000 0.2644 0.0000
2 Pm 0.0000 0.5915 0.5000
3 Pm 0.2644 0.0000 0.0000
4 Pm 0.4085 0.4085 0.5000
5 Pm 0.5915 0.0000 0.5000
6 Pm 0.7356 0.7356 0.0000
7 Ge 0.3333 0.6667 0.0000
8 Ge 0.6667 0.3333 0.0000
9 As 0.0000 0.0000 0.5000

=====

# 4
Crystalline LuIrAu at its relaxed geometry, computed with GGA-PBE.

Output
Size of the total moment   0.00 μB/f.u.
Raw total energy   -5.67 eV/atom

Cell: 4.5296 4.5296 4.5296 Å, 60.00 60.00 60.00°
Sites, in units of the cell vectors:
1 Lu 0.0000 0.0000 0.0000
2 Ir 0.2500 0.2500 0.2500
3 Au 0.7500 0.7500 0.7500

=====

# 5
Crystalline TcSnO3 at its relaxed geometry, computed with GGA-PBE.

Output
Size of the total moment   1.76 μB/f.u.
Raw total energy   -6.97 eV/atom

Cell: 5.6478 7.9000 5.5411 Å, 90.00 90.00 90.00°
Sites, in units of the cell vectors:
1 Tc 0.0000 0.0000 0.0000
2 Tc 0.0000 0.5000 0.0000
3 Tc 0.5000 0.0000 0.5000
4 Tc 0.5000 0.5000 0.5000
5 Sn 0.0348 0.2500 0.4946
6 Sn 0.4652 0.7500 0.9946
7 Sn 0.5348 0.2500 0.0054
8 Sn 0.9652 0.7500 0.5054
9 O 0.0250 0.7500 0.0834
10 O 0.2084 0.5410 0.7065
11 O 0.2084 0.9590 0.7065
12 O 0.2916 0.0410 0.2065
13 O 0.2916 0.4590 0.2065
14 O 0.4750 0.2500 0.5834
15 O 0.5250 0.7500 0.4166
16 O 0.7084 0.5410 0.7935
17 O 0.7084 0.9590 0.7935
18 O 0.7916 0.0410 0.2935
19 O 0.7916 0.4590 0.2935
20 O 0.9750 0.2500 0.9166

=====

# 6
Crystalline PaFe3 at its relaxed geometry, computed with GGA-PBE.

Output
Size of the total moment   4.41 μB/f.u.
Raw total energy   -8.63 eV/atom

Cell: 3.8441 3.8441 3.8441 Å, 90.00 90.00 90.00°
Sites, in units of the cell vectors:
1 Pa 0.0000 0.0000 0.0000
2 Fe 0.0000 0.5000 0.5000
3 Fe 0.5000 0.0000 0.5000
4 Fe 0.5000 0.5000 0.0000

=====

# 7
Crystalline ZrTlCoCu at its relaxed geometry, computed with GGA-PBE.

Output
Size of the total moment   1.22 μB/f.u.
Raw total energy   -5.20 eV/atom

Cell: 4.6160 4.6160 4.6160 Å, 60.00 60.00 60.00°
Sites, in units of the cell vectors:
1 Zr 0.0000 0.0000 0.0000
2 Tl 0.2500 0.2500 0.2500
3 Co 0.7500 0.7500 0.7500
4 Cu 0.5000 0.5000 0.5000

=====

# 8
Crystalline La2Tb2O5 at its relaxed geometry, computed with GGA-PBE.

Output
Size of the total moment   0.02 μB/f.u.
Raw total energy   -7.69 eV/atom

Cell: 4.3818 4.3818 7.7774 Å, 90.00 90.00 90.00°
Sites, in units of the cell vectors:
1 La 0.0000 0.0000 0.0000
2 La 0.0000 0.0000 0.5000
3 Tb 0.5000 0.5000 0.2289
4 Tb 0.5000 0.5000 0.7711
5 O 0.0000 0.5000 0.2377
6 O 0.0000 0.5000 0.7623
7 O 0.5000 0.0000 0.2377
8 O 0.5000 0.0000 0.7623
9 O 0.5000 0.5000 0.5000